## Ca2AgRu (PBE)

Data for a relaxed structure of Ca2AgRu.

Computed properties:
Energy of formation from the pure elements ... 280.1 meV/atom

Cell: 7.013 7.013 7.013 Å, 90.00 90.00 90.00°
Space group F-43m (No. 216)
One atom of each set of equivalent atoms:
Ca  0.000  0.000  0.000
Ca  0.250  0.250  0.250
Ag  0.000  0.000  0.500
Ru  0.250  0.250  0.750